Entry from the Alexandria database: a geometry-optimized Pr5SmSe8 structure (PBE-GGA).

Results
- Spin magnetization: 0.00 μB/cell
- E_form (uncorrected): -26.04 eV per formula unit
- Calculated total energy: -0.4333 Ry per atom

Geometry as CIF:
```
data_Pr5SmSe8
_symmetry_space_group_name_H-M 'I -4'
_symmetry_Int_Tables_number 82
_cell_length_a 9.112
_cell_length_b 9.112
_cell_length_c 8.817
_cell_angle_alpha 90.00
_cell_angle_beta 90.00
_cell_angle_gamma 90.00
loop_
_symmetry_equiv_pos_as_xyz
'x,y,z'
'y,-x,-z'
'-x,-y,z'
'-y,x,-z'
'x+1/2,y+1/2,z+1/2'
'y+1/2,-x+1/2,-z+1/2'
'-x+1/2,-y+1/2,z+1/2'
'-y+1/2,x+1/2,-z+1/2'
loop_
_atom_site_label
_atom_site_type_symbol
_atom_site_fract_x
_atom_site_fract_y
_atom_site_fract_z
_atom_site_occupancy
Pr1 Pr 0.000 0.000 0.000 1
Pr2 Pr 0.147 0.251 0.625 1
Sm1 Sm 0.000 0.500 0.250 1
Se1 Se 0.068 0.177 0.302 1
Se2 Se 0.071 0.328 0.948 1
```

Entry from the Alexandria database: a geometry-optimized LiY5Te4 structure (PBE-GGA).

Results
- Spin magnetization: 0.00 μB/cell
- E_form (uncorrected): -9.33 eV per formula unit
- Calculated total energy: -0.4125 Ry per atom

Geometry as CIF:
```
data_LiY5Te4
_symmetry_space_group_name_H-M 'C 1 2/m 1'
_symmetry_Int_Tables_number 12
_cell_length_a 18.073
_cell_length_b 4.167
_cell_length_c 8.334
_cell_angle_alpha 90.00
_cell_angle_beta 102.31
_cell_angle_gamma 90.00
loop_
_symmetry_equiv_pos_as_xyz
'x,y,z'
'-x,-y,-z'
'-x,y,-z'
'x,-y,z'
'x+1/2,y+1/2,z'
'-x+1/2,-y+1/2,-z'
'-x+1/2,y+1/2,-z'
'x+1/2,-y+1/2,z'
loop_
_atom_site_label
_atom_site_type_symbol
_atom_site_fract_x
_atom_site_fract_y
_atom_site_fract_z
_atom_site_occupancy
Li1 Li 0.000 0.000 0.000 1
Y1 Y 0.000 0.000 0.500 1
Y2 Y 0.169 0.500 0.804 1
Y3 Y 0.185 0.500 0.359 1
Te1 Te 0.007 0.500 0.242 1
Te2 Te 0.161 0.000 0.071 1
```

Entry from the Alexandria database: a geometry-optimized Ce2PrCu2Si2 structure (PBE-GGA).

Results
- Spin magnetization: 3.88 μB/cell
- E_form (uncorrected): -3.48 eV per formula unit
- Calculated total energy: -0.4112 Ry per atom

Geometry as CIF:
```
data_Ce2PrCu2Si2
_symmetry_space_group_name_H-M 'R -3 m'
_symmetry_Int_Tables_number 166
_symmetry_space_group_name_Hall '-R 3 2"'
_cell_length_a 4.1907
_cell_length_b 4.1907
_cell_length_c 27.9195
_cell_angle_alpha 90.00
_cell_angle_beta 90.00
_cell_angle_gamma 120.00
loop_
_atom_site_label
_atom_site_type_symbol
_atom_site_fract_x
_atom_site_fract_y
_atom_site_fract_z
_atom_site_occupancy
Ce1 Ce 0.0000 0.0000 0.1405 1
Pr1 Pr 0.0000 0.0000 0.0000 1
Cu1 Cu 0.0000 0.0000 0.4077 1
Si1 Si 0.0000 0.0000 0.2596 1
```

Entry from the Alexandria database: a geometry-optimized ReTeMo2 structure (PBE-GGA).

Results
- Spin magnetization: 0.00 μB/cell
- E_form (uncorrected): 2.49 eV per formula unit
- Calculated total energy: -0.6387 Ry per atom

Geometry as CIF:
```
data_ReTeMo2
_symmetry_space_group_name_H-M 'P 1 2/m 1'
_symmetry_Int_Tables_number 10
_cell_length_a 4.881
_cell_length_b 3.103
_cell_length_c 4.968
_cell_angle_alpha 90.00
_cell_angle_beta 114.73
_cell_angle_gamma 90.00
loop_
_symmetry_equiv_pos_as_xyz
'x,y,z'
'-x,-y,-z'
'-x,y,-z'
'x,-y,z'
loop_
_atom_site_label
_atom_site_type_symbol
_atom_site_fract_x
_atom_site_fract_y
_atom_site_fract_z
_atom_site_occupancy
Re1 Re 0.000 0.000 0.000 1
Te1 Te 0.500 0.500 0.000 1
Mo1 Mo 0.000 0.500 0.500 1
Mo2 Mo 0.500 0.000 0.500 1
```

Entry from the Alexandria database: a geometry-optimized TaNiAs2 structure (PBE-GGA).

Results
- Spin magnetization: 0.00 μB/cell
- Energy of formation: 0.00 eV/atom
- Calculated total energy: -0.4949 Ry per atom

Geometry as CIF:
```
data_TaNiAs2
_symmetry_space_group_name_H-M 'R -3 m'
_symmetry_Int_Tables_number 166
_symmetry_space_group_name_Hall '-R 3 2"'
_cell_length_a 3.0411
_cell_length_b 3.0411
_cell_length_c 23.6122
_cell_angle_alpha 90.00
_cell_angle_beta 90.00
_cell_angle_gamma 120.00
loop_
_atom_site_label
_atom_site_type_symbol
_atom_site_fract_x
_atom_site_fract_y
_atom_site_fract_z
_atom_site_occupancy
Ta1 Ta 0.0000 0.0000 0.0000 1
Ni1 Ni 0.0000 0.0000 0.5000 1
As1 As 0.0000 0.0000 0.2420 1
```

Entry from the Alexandria database: a geometry-optimized TaAgSe2N structure (PBE-GGA).

Results
- Spin magnetization: 0.66 μB/cell
- E_form (uncorrected): 0.21 eV per formula unit
- Calculated total energy: -0.4379 Ry per atom

Geometry as CIF:
```
data_TaAgSe2N
_symmetry_space_group_name_H-M 'P 4/m m m'
_symmetry_Int_Tables_number 123
_symmetry_space_group_name_Hall '-P 4 2'
_cell_length_a 5.189
_cell_length_b 5.189
_cell_length_c 3.912
_cell_angle_alpha 90.00
_cell_angle_beta 90.00
_cell_angle_gamma 90.00
loop_
_atom_site_label
_atom_site_type_symbol
_atom_site_fract_x
_atom_site_fract_y
_atom_site_fract_z
_atom_site_occupancy
Ta1 Ta 0.000 0.000 0.000 1
Ag1 Ag 0.500 0.500 0.500 1
Se1 Se 0.000 0.500 0.000 1
N1 N 0.000 0.000 0.500 1
```

Entry from the Alexandria database: a geometry-optimized HoTlPdPt structure (PBE-GGA).

Results
- Spin magnetization: 0.00 μB/cell
- Energy of formation: -0.70 eV/atom
- Calculated total energy: -0.3856 Ry per atom

Geometry as CIF:
```
data_HoTlPdPt
_symmetry_space_group_name_H-M 'F -4 3 m'
_symmetry_Int_Tables_number 216
_symmetry_space_group_name_Hall 'F -4 2 3'
_cell_length_a 6.834
_cell_length_b 6.834
_cell_length_c 6.834
_cell_angle_alpha 90.00
_cell_angle_beta 90.00
_cell_angle_gamma 90.00
loop_
_atom_site_label
_atom_site_type_symbol
_atom_site_fract_x
_atom_site_fract_y
_atom_site_fract_z
_atom_site_occupancy
Ho1 Ho 0.000 0.000 0.000 1
Tl1 Tl 0.000 0.000 0.500 1
Pd1 Pd 0.250 0.250 0.250 1
Pt1 Pt 0.250 0.250 0.750 1
```

Entry from the Alexandria database: a geometry-optimized InSiOs2 structure (PBE-GGA).

Results
- Spin magnetization: 0.00 μB/cell
- E_form (uncorrected): 0.36 eV per formula unit
- Calculated total energy: -0.5561 Ry per atom

Geometry as CIF:
```
data_InSiOs2
_symmetry_space_group_name_H-M 'P 4/m m m'
_symmetry_Int_Tables_number 123
_symmetry_space_group_name_Hall '-P 4 2'
_cell_length_a 2.997
_cell_length_b 2.997
_cell_length_c 6.702
_cell_angle_alpha 90.00
_cell_angle_beta 90.00
_cell_angle_gamma 90.00
loop_
_atom_site_label
_atom_site_type_symbol
_atom_site_fract_x
_atom_site_fract_y
_atom_site_fract_z
_atom_site_occupancy
In1 In 0.000 0.000 0.000 1
Si1 Si 0.000 0.000 0.500 1
Os1 Os 0.500 0.500 0.292 1
```

Entry from the Alexandria database: a geometry-optimized InGe2P structure (PBE-GGA).

Results
- Spin magnetization: 0.00 μB/cell
- Energy of formation: 0.44 eV/atom
- Calculated total energy: -0.2872 Ry per atom

Geometry as CIF:
```
data_InGe2P
_symmetry_space_group_name_H-M 'F m -3 m'
_symmetry_Int_Tables_number 225
_symmetry_space_group_name_Hall '-F 4 2 3'
_cell_length_a 6.877
_cell_length_b 6.877
_cell_length_c 6.877
_cell_angle_alpha 90.00
_cell_angle_beta 90.00
_cell_angle_gamma 90.00
loop_
_atom_site_label
_atom_site_type_symbol
_atom_site_fract_x
_atom_site_fract_y
_atom_site_fract_z
_atom_site_occupancy
In1 In 0.000 0.000 0.000 1
Ge1 Ge 0.250 0.250 0.250 1
P1 P 0.000 0.000 0.500 1
```

Entry from the Alexandria database: a geometry-optimized Pr2USb3 structure (PBE-GGA).

Results
- Spin magnetization: 10.63 μB/cell
- E_form (uncorrected): -5.06 eV per formula unit
- Calculated total energy: -0.4688 Ry per atom

Geometry as CIF:
```
data_Pr2USb3
_symmetry_space_group_name_H-M 'F m m m'
_symmetry_Int_Tables_number 69
_symmetry_space_group_name_Hall '-F 2 2'
_cell_length_a 6.360
_cell_length_b 6.373
_cell_length_c 19.051
_cell_angle_alpha 90.00
_cell_angle_beta 90.00
_cell_angle_gamma 90.00
loop_
_atom_site_label
_atom_site_type_symbol
_atom_site_fract_x
_atom_site_fract_y
_atom_site_fract_z
_atom_site_occupancy
Pr1 Pr 0.000 0.000 0.168 1
U1 U 0.000 0.000 0.500 1
Sb1 Sb 0.000 0.000 0.000 1
Sb2 Sb 0.000 0.000 0.337 1
```

Entry from the Alexandria database: a geometry-optimized Np2H2I7 structure (PBE-GGA).

Results
- Spin magnetization: 18.00 μB/cell
- Calculated total energy: -0.3198 Ry per atom

Geometry as CIF:
```
data_Np2H2I7
_symmetry_space_group_name_H-M 'C 1 2/m 1'
_symmetry_Int_Tables_number 12
_cell_length_a 11.295
_cell_length_b 10.902
_cell_length_c 7.749
_cell_angle_alpha 90.00
_cell_angle_beta 116.84
_cell_angle_gamma 90.00
loop_
_symmetry_equiv_pos_as_xyz
'x,y,z'
'-x,-y,-z'
'-x,y,-z'
'x,-y,z'
'x+1/2,y+1/2,z'
'-x+1/2,-y+1/2,-z'
'-x+1/2,y+1/2,-z'
'x+1/2,-y+1/2,z'
loop_
_atom_site_label
_atom_site_type_symbol
_atom_site_fract_x
_atom_site_fract_y
_atom_site_fract_z
_atom_site_occupancy
Np1 Np 0.215 0.000 0.497 1
H1 H 0.000 0.255 0.000 1
I1 I 0.000 0.500 0.500 1
I2 I 0.089 0.000 0.788 1
I3 I 0.170 0.249 0.226 1
```

Entry from the Alexandria database: a geometry-optimized Pm2AgAs4Rh3 structure (PBE-GGA).

Results
- Spin magnetization: 0.00 μB/cell
- Energy of formation: -0.80 eV/atom
- Calculated total energy: -0.4481 Ry per atom

Geometry as CIF:
```
data_Pm2AgAs4Rh3
_symmetry_space_group_name_H-M 'P -4 m 2'
_symmetry_Int_Tables_number 115
_cell_length_a 4.345
_cell_length_b 4.345
_cell_length_c 10.100
_cell_angle_alpha 90.00
_cell_angle_beta 90.00
_cell_angle_gamma 90.00
loop_
_symmetry_equiv_pos_as_xyz
'x,y,z'
'y,-x,-z'
'-x,-y,z'
'-y,x,-z'
'-x,y,z'
'-y,-x,-z'
'x,-y,z'
'y,x,-z'
loop_
_atom_site_label
_atom_site_type_symbol
_atom_site_fract_x
_atom_site_fract_y
_atom_site_fract_z
_atom_site_occupancy
Pm1 Pm 0.000 0.500 0.243 1
Ag1 Ag 0.000 0.000 0.500 1
As1 As 0.000 0.000 0.000 1
As2 As 0.000 0.500 0.645 1
As3 As 0.500 0.500 0.000 1
Rh1 Rh 0.000 0.500 0.884 1
Rh2 Rh 0.500 0.500 0.500 1
```